Entry 1:
DFT (GGA-PBEsol) results for crystalline MgSnIN2 at its relaxed geometry.

```
5
Lattice="4.0981 0.0000 0.0000 0.0000 4.0981 0.0000 0.0000 0.0000 6.1769" Properties=species:S:1:pos:R:3 pbc="T T T"
I 0.0000 0.0000 3.0885
Mg 2.0490 2.0490 3.0885
Sn 0.0000 0.0000 0.0000
N 0.0000 2.0490 0.0000
N 2.0490 0.0000 0.0000
```

## Properties
The energy relative to the elements, uncorrected comes out at 0.928 eV per atom. As for the crystal system: tetragonal. The calculation puts the energy at -0.1481 hartree per atom. Its space-group type is P4/mmm.

Entry 2:
DFT (GGA-PBEsol) results for crystalline Mg2ScRh at its relaxed geometry.

```
4
Lattice="3.0212 0.0000 0.0000 1.5106 2.6164 0.0000 1.5106 0.8721 9.4695" Properties=species:S:1:pos:R:3 pbc="T T T"
Mg 1.5106 0.8721 2.7331
Mg 4.5318 2.6164 6.7364
Rh 3.0212 1.7443 4.7348
Sc 0.0000 0.0000 0.0000
```

## Properties
The formation energy comes out at -68 meV per atom. As for the crystal system: trigonal. The calculation puts the energy at -0.1695 hartree per atom. Its space-group type is R-3m.

Entry 3:
DFT (GGA-PBEsol) results for crystalline Ba2HgBi2 at its relaxed geometry.

```
10
Lattice="4.9354 0.0000 0.0000 0.0000 8.7211 0.0000 0.0000 0.0000 8.7211" Properties=species:S:1:pos:R:3 pbc="T T T"
Ba 2.4677 1.5576 5.9182
Ba 2.4677 5.9182 7.1635
Ba 2.4677 7.1635 2.8029
Ba 2.4677 2.8029 1.5576
Bi 0.0000 3.3005 7.6611
Bi 0.0000 7.6611 5.4206
Bi 0.0000 5.4206 1.0600
Bi 0.0000 1.0600 3.3005
Hg 0.0000 0.0000 0.0000
Hg 0.0000 4.3605 4.3605
```

## Properties
The value obtained for the energy above the most stable polymorph in this dataset is 0.0 meV/atom. The formation energy comes out at -686 meV per atom. As for the crystal system: tetragonal. The calculation puts the energy at -0.1239 hartree per atom. Its space-group type is P4/mbm.

Entry 4:
DFT (GGA-PBEsol) results for crystalline ZnPH4NO4 at its relaxed geometry.

```
88
Lattice="-4.8509 -4.5437 5.5413 -4.0923 -5.5842 -8.1613 8.8541 -3.4394 4.9307" Properties=species:S:1:pos:R:3 pbc="T T T"
Zn 6.5859 -4.1493 2.9967
Zn 2.4617 -6.0998 2.9393
Zn 4.2816 -6.7915 -1.1870
Zn 2.0660 -2.1614 0.6700
Zn -0.1846 -9.5602 -0.6102
Zn -2.4001 -4.9302 1.2468
Zn -4.2792 -9.0866 1.3459
Zn -4.7045 -7.5723 -2.9369
P 4.7444 -5.9033 5.0938
P 4.3680 -4.3142 0.7617
P 2.4117 -8.5074 0.9164
P 0.2343 -3.8837 2.8016
P -2.0483 -11.2994 1.4796
P -4.2257 -6.6757 3.3648
P -2.3729 -7.3010 -0.8317
P -6.5584 -9.2798 -0.8126
H 4.9717 -6.8800 8.0030
H 3.1604 -9.3964 6.0409
H 5.7798 -6.8151 2.6335
H 3.1735 -8.3203 4.7187
H 1.7900 -9.3141 5.0575
H 0.7406 -6.5310 6.4208
H -1.7067 -1.5986 1.9496
H -4.1321 -3.8705 4.7203
H 1.1888 -11.3283 1.0439
H 0.9251 -5.2325 5.2824
H 2.7512 -2.7271 3.3344
H 3.0673 -9.3726 -2.4648
H -0.2660 -5.1775 6.5008
H 0.0806 -7.7496 2.4791
H -0.8980 -7.8426 3.9109
H -1.1017 -8.9638 2.6646
H 1.6798 -6.1104 -0.3778
H -1.6135 -7.3115 2.5111
H 0.4068 -5.1711 0.3383
H 0.0964 -6.3922 -0.7861
H 0.8155 -4.8951 -1.2936
H -0.4289 -8.9574 -3.4980
H -2.5511 -3.6278 4.0842
H -2.6850 -10.6948 -1.2010
H -0.0291 -7.4122 -4.0969
H -0.6726 -1.6722 0.5755
H -1.5423 -7.7039 -3.2960
H -2.5917 -4.9208 -1.9327
H -2.2774 -4.3244 -3.5332
H -5.7135 -6.6068 -0.5002
H -3.8553 -4.7385 -3.0380
H -4.4555 -6.1205 -6.3836
N 2.8424 -9.2614 5.0464
N -1.1298 -1.0582 1.2906
N -3.5552 -3.3301 4.0612
N 0.7155 -5.4871 6.2793
N -0.8748 -7.9552 2.8634
N 0.7735 -5.6237 -0.5386
N -0.8168 -8.0918 -3.9546
N -2.9437 -4.3174 -2.7216
O 5.3393 -6.7832 6.2257
O 5.8268 -5.6123 4.0282
O 4.2509 -4.5761 5.7187
O 3.5622 -6.6678 4.4358
O 3.6955 -9.1849 1.4534
O 0.6800 -8.1211 7.0270
O 0.1571 -9.7698 5.2175
O 3.5215 -5.1071 1.7287
O 1.7391 -7.6563 2.0292
O 2.7598 -7.6002 -0.2867
O 1.4234 -9.6190 0.4725
O 1.0081 -4.9828 3.5816
O -1.3186 -7.7770 5.5596
O -1.2692 -10.6602 2.6543
O 2.8876 -8.2991 -3.9202
O 1.2287 -2.8106 2.3003
O -1.4261 -10.8582 0.1342
O -0.8075 -3.2365 3.7531
O -0.5223 -4.5018 1.6012
O -0.8924 -7.7780 -0.8249
O 1.3081 -6.3316 -4.0185
O 0.6567 -1.9166 -0.6396
O -2.9572 -6.0687 2.7212
O 0.5771 -3.6580 -2.4662
O -3.2194 -8.0939 0.1353
O -2.3682 -5.7852 -0.4827
O -2.8910 -7.4339 -2.2923
O -5.4870 -5.9771 2.8021
O -1.2459 -4.6465 -4.8727
O -6.0424 -10.5860 -1.4632
O -6.0242 -8.0566 -1.5937
O -3.2592 -4.7523 -6.3929
```

## Properties
As for the crystal system: hexagonal. The calculation puts the energy at -0.2178 hartree per atom. Its space-group type is P6_3.

Entry 5:
DFT (GGA-PBEsol) results for crystalline LiCo4Te at its relaxed geometry.

```
6
Lattice="-1.2131 4.3347 1.6206 -0.4680 0.7513 4.7014 3.2159 2.6698 2.3275" Properties=species:S:1:pos:R:3 pbc="T T T"
Co 0.5764 2.9128 3.2485
Co 2.1770 4.2417 4.4070
Co -0.0274 5.0704 4.0551
Co 0.3434 3.2868 5.5886
Li 1.1510 5.8169 6.4872
Te 0.0000 0.0000 0.0000
```

## Properties
The energy relative to the elements, uncorrected comes out at 0.182 eV per atom. As for the crystal system: cubic. The calculation puts the energy at -0.2165 hartree per atom. Its space-group type is F-43m.

Entry 6:
DFT (GGA-PBEsol) results for crystalline Cs3LiSb at its relaxed geometry.

```
5
Lattice="6.3605 0.0000 0.0000 0.0000 6.3605 0.0000 0.0000 0.0000 6.3605" Properties=species:S:1:pos:R:3 pbc="T T T"
Cs 0.0000 3.1802 0.0000
Cs 0.0000 0.0000 3.1802
Cs 3.1802 0.0000 0.0000
Sb 3.1802 3.1802 3.1802
Li 0.0000 0.0000 0.0000
```

## Properties
The energy relative to the elements, uncorrected comes out at 0.278 eV per atom. As for the crystal system: cubic. The calculation puts the energy at -0.0585 hartree per atom. Its space-group type is Pm-3m.

Respective calculated volume values: 103.7, 74.9, 375.4, 858.4, 77.4, 257.3 Å³/cell.
Respective M_tot values: 0.8, 0.3, 0.0, 0.0, 6.8, 0.8 μB per formula unit.